# 1
Below is Tb6NdTm3Th2 after structural relaxation, with properties calculated at the GGA-PBE level.

The structure in extended XYZ format:
```
12
Lattice="3.088 -5.341 0.000 3.088 5.341 0.000 -2.057 0.000 11.588" Properties=species:S:1:pos:R:3 pbc="T T T"
Tb -0.019 1.803 8.686
Tb 1.008 0.000 2.902
Tb -0.019 -1.803 8.686
Tb 4.138 1.803 2.902
Tb 3.111 0.000 8.686
Tb 4.138 -1.803 2.902
Nd 3.088 0.000 0.000
Tm -1.028 0.000 5.794
Tm 2.059 1.778 5.794
Tm 2.059 -1.778 5.794
Th 3.088 3.559 0.000
Th 3.088 -3.559 0.000
```

The space group is C2/m, No. 12. Its crystal system is monoclinic. For the energy of formation from the pure elements, the calculation gives 37 meV per atom.

---

# 2
Below is LaTbTm3 after structural relaxation, with properties calculated at the GGA-PBE level.

The structure in extended XYZ format:
```
20
Lattice="11.792 0.000 0.000 0.000 10.271 0.000 0.000 0.000 5.488" Properties=species:S:1:pos:R:3 pbc="T T T"
La 0.615 2.568 0.002
La 5.281 7.703 2.746
La 6.511 2.568 2.742
La 11.178 7.703 5.486
Tb 0.000 0.000 2.744
Tb 0.000 5.135 2.744
Tb 5.896 0.000 0.000
Tb 5.896 5.135 0.000
Tm 2.016 7.703 2.740
Tm 2.283 5.792 5.485
Tm 2.283 9.614 5.485
Tm 3.614 0.657 2.741
Tm 3.614 4.479 2.741
Tm 3.880 2.568 5.484
Tm 7.913 7.703 0.004
Tm 8.179 5.792 2.747
Tm 8.179 9.614 2.747
Tm 9.510 0.657 0.003
Tm 9.510 4.479 0.003
Tm 9.776 2.568 2.748
```

The space group is Pnma, No. 62. The distance to the lowest polymorph of the same formula comes out at 0.000 eV per atom. Its crystal system is orthorhombic. For the energy of formation from the pure elements, the calculation gives 181 meV per atom.

---

# 3
Below is LaCrC2 after structural relaxation, with properties calculated at the GGA-PBE level.

The structure in extended XYZ format:
```
4
Lattice="1.626 0.939 5.648 -1.626 0.939 5.648 0.000 -1.878 5.648" Properties=species:S:1:pos:R:3 pbc="T T T"
La 0.000 0.000 0.000
Cr 0.000 0.000 8.472
C 0.000 0.000 3.800
C 0.000 0.000 13.143
```

The space group is R-3m, No. 166. Its crystal system is trigonal. For the energy of formation from the pure elements, the calculation gives 403 meV per atom.

---

# 4
Below is LiNdTmGe after structural relaxation, with properties calculated at the GGA-PBE level.

The structure in extended XYZ format:
```
4
Lattice="0.000 3.589 3.589 3.589 0.000 3.589 3.589 3.589 0.000" Properties=species:S:1:pos:R:3 pbc="T T T"
Li 0.000 0.000 0.000
Nd 5.383 5.383 5.383
Tm 1.794 1.794 1.794
Ge 3.589 3.589 3.589
```

The space group is F-43m, No. 216. Its crystal system is cubic. For the energy of formation from the pure elements, the calculation gives -397 meV per atom.

---

# 5
Below is KNa15 after structural relaxation, with properties calculated at the GGA-PBE level.

The structure in extended XYZ format:
```
16
Lattice="7.645 0.000 0.000 -3.822 6.621 0.000 0.000 0.000 12.281" Properties=species:S:1:pos:R:3 pbc="T T T"
K 0.000 0.000 0.000
Na 0.000 0.000 6.140
Na -1.877 3.330 6.140
Na 0.000 4.414 3.020
Na 0.000 4.414 9.261
Na 1.946 1.124 3.203
Na 1.946 1.124 9.078
Na 1.877 3.330 6.140
Na 0.000 6.581 6.140
Na 3.822 0.033 0.000
Na 1.940 3.294 0.000
Na 5.699 1.124 3.203
Na 5.699 1.124 9.078
Na 3.822 4.374 3.203
Na 3.822 4.374 9.078
Na 5.705 3.294 0.000
```

The space group is P-6m2, No. 187. Its crystal system is hexagonal. For the energy of formation from the pure elements, the calculation gives 17 meV per atom.

---

# 6
Below is CaSm3Mg4 after structural relaxation, with properties calculated at the GGA-PBE level.

The structure in extended XYZ format:
```
8
Lattice="5.475 0.000 0.000 0.000 5.475 0.000 0.000 0.000 7.763" Properties=species:S:1:pos:R:3 pbc="T T T"
Ca 0.000 0.000 0.000
Sm 0.000 0.000 3.881
Sm 2.737 2.737 0.000
Sm 2.737 2.737 3.881
Mg 0.000 2.737 1.968
Mg 0.000 2.737 5.795
Mg 2.737 0.000 1.968
Mg 2.737 0.000 5.795
```

The space group is P4/mmm, No. 123. Its crystal system is tetragonal. For the energy of formation from the pure elements, the calculation gives -87 meV per atom.

---

# 7
Below is TbMg2Pd after structural relaxation, with properties calculated at the GGA-PBE level.

The structure in extended XYZ format:
```
4
Lattice="0.000 3.453 3.453 3.453 0.000 3.453 3.453 3.453 0.000" Properties=species:S:1:pos:R:3 pbc="T T T"
Tb 0.000 0.000 0.000
Mg 1.726 1.726 1.726
Mg 5.179 5.179 5.179
Pd 3.453 3.453 3.453
```

The space group is Fm-3m, No. 225. Its crystal system is cubic. For the energy of formation from the pure elements, the calculation gives -266 meV per atom.

---

# 8
Below is GaP3Br after structural relaxation, with properties calculated at the GGA-PBE level.

The structure in extended XYZ format:
```
5
Lattice="4.775 0.000 0.000 0.000 4.775 0.000 0.000 0.000 4.775" Properties=species:S:1:pos:R:3 pbc="T T T"
Ga 0.000 0.000 0.000
P 0.000 0.000 2.388
P 0.000 2.388 0.000
P 2.388 0.000 0.000
Br 2.388 2.388 2.388
```

The space group is Pm-3m, No. 221. The distance to the lowest polymorph of the same formula comes out at 0.000 eV per atom. Its crystal system is cubic. The uncorrected formation energy is 1.042 eV per atom.

---

# 9
Below is BaRu2Rh2 after structural relaxation, with properties calculated at the GGA-PBE level.

The structure in extended XYZ format:
```
5
Lattice="-2.169 2.169 5.279 2.169 -2.169 5.279 2.169 2.169 -5.279" Properties=species:S:1:pos:R:3 pbc="T T T"
Ba 0.000 0.000 0.000
Ru 0.000 0.000 4.116
Ru 0.000 0.000 6.442
Rh 2.169 0.000 2.640
Rh 0.000 2.169 2.640
```

The space group is I4/mmm, No. 139. Its crystal system is tetragonal. For the energy of formation from the pure elements, the calculation gives 342 meV per atom.

---

# 10
Below is TlRe2 after structural relaxation, with properties calculated at the GGA-PBE level.

The structure in extended XYZ format:
```
6
Lattice="0.000 3.799 3.799 3.799 0.000 3.799 3.799 3.799 0.000" Properties=species:S:1:pos:R:3 pbc="T T T"
Tl 0.950 0.950 0.950
Tl 6.648 6.648 6.648
Re 3.799 1.900 1.900
Re 1.900 3.799 1.900
Re 1.900 1.900 3.799
Re 3.799 3.799 3.799
```

The space group is Fd-3m, No. 227. The distance to the lowest polymorph of the same formula comes out at 0.422 eV per atom. Its crystal system is cubic. For the energy of formation from the pure elements, the calculation gives 963 meV per atom.

---

# 11
Below is V2SnI after structural relaxation, with properties calculated at the GGA-PBE level.

The structure in extended XYZ format:
```
8
Lattice="-3.069 3.069 6.438 3.069 -3.069 6.438 3.069 3.069 -6.438" Properties=species:S:1:pos:R:3 pbc="T T T"
V 4.604 1.475 -1.610
V 1.475 1.535 1.610
V -1.535 1.594 4.829
V 1.594 1.535 8.048
Sn 0.000 0.000 0.000
Sn 0.000 3.069 3.219
I 3.069 0.000 3.219
I 0.000 0.000 6.438
```

The space group is I-42d, No. 122. The distance to the lowest polymorph of the same formula comes out at 0.203 eV per atom. Its crystal system is tetragonal. The uncorrected formation energy is 0.809 eV per atom.

---

# 12
Below is Li2GaPtO4 after structural relaxation, with properties calculated at the GGA-PBE level.

The structure in extended XYZ format:
```
8
Lattice="5.357 0.000 0.000 0.000 2.984 0.000 -2.374 0.000 5.073" Properties=species:S:1:pos:R:3 pbc="T T T"
Li 0.000 0.000 0.000
Li -1.187 1.492 2.536
Ga 1.491 0.000 2.536
Pt 2.679 1.492 0.000
O 0.695 1.492 1.422
O -0.185 0.000 3.735
O 3.168 0.000 1.338
O 2.288 1.492 3.651
```

The space group is P2/m, No. 10. Its crystal system is monoclinic. The uncorrected formation energy is -1.380 eV per atom.